## CaHf2MoO8 (PBE+U)

Data for a relaxed CaHf2MoO8 crystal.

Unit cell a=4.8780 b=4.8772 c=6.5300 alpha=90.00 beta=90.00 gamma=89.15
With the nearest neighbours (Å) after each atom.
Fractional coordinates of all 12 atoms:
O  0.8026  0.1977  0.2098  1 Mo 1.92, 1 Hf 2.09
O  0.8026  0.1977  0.7902  1 Mo 1.92, 1 Hf 2.09
O  0.3205  0.3203  0.5000  2 Hf 2.03, 1 Ca 2.23
O  0.1974  0.8023  0.2098  1 Mo 1.92, 1 Hf 2.09
O  0.1974  0.8023  0.7902  1 Mo 1.92, 1 Hf 2.09
O  0.7087  0.7090  0.0000  1 Mo 2.02, 2 Hf 2.21
O  0.6795  0.6797  0.5000  2 Hf 2.03, 1 Ca 2.23
O  0.2913  0.2910  0.0000  1 Mo 2.02, 2 Hf 2.21
Mo  0.0000  0.0000  0.0000  6 O 1.92-2.02
Hf  0.5000  0.5000  0.7456  6 O 2.03-2.21
Hf  0.5000  0.5000  0.2544  6 O 2.03-2.21
Ca  0.0000  0.0000  0.5000  6 O 2.23-2.33

Output
* N(E_F): 0.00 states/eV per atom
* spin magnetization: 0.0 μB/f.u.
* energy: -102.18 eV/cell
* symmetry: Cmmm, No. 65